## MgTa2As (PBE)

Data for a relaxed MgTa2As crystal.

a = 9.369 Å, b = 9.369 Å, c = 9.369 Å
α = 18.70°, β = 18.70°, γ = 18.70°
Element x y z (fractional)
As  0.250  0.250  0.250
Mg  0.750  0.750  0.750
Ta  0.992  0.992  0.992
Ta  0.508  0.508  0.508

Spin magnetization ... 0.000 μB per formula unit
ΔH_f (0 K) ... 220 meV per atom
Total energy ... -7.267 eV per atom
Density of states at the Fermi level ... 1.13 states/eV per atom

***

## MgTa2As (PBE)

Data for a relaxed MgTa2As crystal.

a = 2.928 Å, b = 2.928 Å, c = 8.841 Å
α = 90.00°, β = 90.00°, γ = 90.00°
Element x y z (fractional)
As  0.000  0.000  0.478
Mg  0.500  0.500  0.751
Ta  0.000  0.000  0.008
Ta  0.500  0.500  0.263

Spin magnetization ... 0.002 μB per formula unit
ΔH_f (0 K) ... 104 meV per atom
Total energy ... -7.383 eV per atom
Density of states at the Fermi level ... 1.01 states/eV per atom

***

## MgTa2As (PBE)

Data for a relaxed MgTa2As crystal.

a = 3.913 Å, b = 3.913 Å, c = 10.369 Å
α = 79.12°, β = 79.12°, γ = 90.00°
Element x y z (fractional)
As  0.000  0.000  0.000
As  0.750  0.250  0.500
Mg  0.500  0.500  0.000
Mg  0.250  0.750  0.500
Ta  0.630  0.125  0.250
Ta  0.120  0.625  0.250
Ta  0.375  0.370  0.750
Ta  0.875  0.880  0.750

Spin magnetization ... 0.000 μB per formula unit
ΔH_f (0 K) ... 367 meV per atom
Total energy ... -7.120 eV per atom
Density of states at the Fermi level ... 0.90 states/eV per atom

***

## MgTa2As2 (PBE)

Data for a relaxed MgTa2As2 crystal.

a = 4.068 Å, b = 4.068 Å, c = 6.719 Å
α = 72.38°, β = 72.38°, γ = 90.00°
Element x y z (fractional)
As  0.389  0.389  0.221
As  0.611  0.611  0.779
Mg  0.000  0.000  0.000
Ta  0.750  0.250  0.500
Ta  0.250  0.750  0.500

Spin magnetization ... 0.000 μB per formula unit
ΔH_f (0 K) ... -125 meV per atom
Total energy ... -7.045 eV per atom
Density of states at the Fermi level ... 0.54 states/eV per atom

***

| no. | E above lowest polymorph (eV/atom) |
| --- | --- |
| 1 | 0.247 |
| 2 | 0.131 |
| 3 | 0.394 |
| 4 | 0.088 |